1.
VASP calculation (GGA-PBE) on crystalline PrDyAl2Pd4 at its relaxed geometry.

Output
Total energy   -5.602 eV per atom
SG   No. 187

abc: 4.399 4.399 9.279
angles: 90.00 90.00 120.00
Sites, in units of the cell vectors:
Pr  0.000  0.000  0.000
Dy  0.333  0.667  0.500
Al  0.667  0.333  0.257
Al  0.667  0.333  0.743
Pd  0.000  0.000  0.335
Pd  0.000  0.000  0.665
Pd  0.333  0.667  0.184
Pd  0.333  0.667  0.816

2.
VASP calculation (GGA-PBE) on crystalline Nb2NiPd at its relaxed geometry.

Output
ΔE_f   0.008 eV/atom
SG   No. 216

abc: 4.448 4.448 4.448
angles: 60.00 60.00 60.00
Sites, in units of the cell vectors:
Nb  0.000  0.000  0.000
Nb  0.250  0.250  0.250
Ni  0.750  0.750  0.750
Pd  0.500  0.500  0.500

3.
VASP calculation (GGA-PBE) on crystalline HoIn at its relaxed geometry.

Output
Total energy   -3.914 eV per atom
SG   No. 187

abc: 3.518 3.518 5.140
angles: 90.00 90.00 120.00
Sites, in units of the cell vectors:
Ho  0.000  0.000  0.000
In  0.667  0.333  0.500

4.
VASP calculation (GGA-PBE) on crystalline FeI4 at its relaxed geometry.

Output
Total energy   -2.906 eV per atom
SG   No. 36

abc: 8.096 8.096 15.481
angles: 90.00 90.00 131.33
Sites, in units of the cell vectors:
Fe  0.083  0.330  0.000
Fe  0.330  0.083  0.500
Fe  0.670  0.917  0.000
Fe  0.917  0.670  0.500
I  0.005  0.995  0.082
I  0.013  0.478  0.154
I  0.231  0.261  0.846
I  0.252  0.748  0.418
I  0.261  0.231  0.346
I  0.268  0.732  0.930
I  0.478  0.013  0.654
I  0.485  0.515  0.070
I  0.515  0.485  0.570
I  0.522  0.987  0.154
I  0.732  0.268  0.430
I  0.739  0.769  0.846
I  0.748  0.252  0.918
I  0.769  0.739  0.346
I  0.987  0.522  0.654
I  0.995  0.005  0.582

Number 1: total magnetization 0.00 μB/f.u., theoretical density 8363 kg/m3. Number 2: total magnetization 0.31 μB/f.u., theoretical density 9367 kg/m3. Number 3: total magnetization 0.15 μB/f.u., theoretical density 8432 kg/m3. Number 4: total magnetization 3.94 μB/f.u., theoretical density 4911 kg/m3.